This record from Alexandria describes crystalline La4FeNi3O12 at its relaxed geometry. The functional is PBEsol.

abc: 5.340 5.417 7.618
angles: 89.97 88.84 90.00
Last column: magnetic moment on the atom in μB.
Element x y z (fractional)
La (0.501, 0.000, 0.756)  0.01
La (0.000, 0.499, 0.244)  0.01
La (0.499, 0.000, 0.244)  0.01
La (0.000, 0.501, 0.756)  0.01
Fe (0.500, 0.500, 0.500)  2.81
Ni (0.000, 0.000, 0.500)  0.36
Ni (0.500, 0.500, 0.000)  0.18
Ni (0.000, 0.000, 0.000)  -0.01
O (0.221, 0.716, 0.476)  0.08
O (0.728, 0.228, 0.977)  0.00
O (0.283, 0.222, 0.526)  0.08
O (0.772, 0.728, 0.024)  0.00
O (0.003, 0.050, 0.250)  0.01
O (0.497, 0.548, 0.748)  0.07
O (0.717, 0.778, 0.474)  0.08
O (0.228, 0.272, 0.976)  0.00
O (0.997, 0.950, 0.750)  0.01
O (0.503, 0.452, 0.252)  0.07
O (0.779, 0.284, 0.524)  0.08
O (0.272, 0.772, 0.023)  0.00

Summary:
- Symmetry: P-1 (2)
- Energy relative to the elements, uncorrected: -2.29 eV/atom
- D(E_F): 6.17 states/eV/f.u.

This record from Alexandria describes crystalline LaFeO3 at its relaxed geometry. The functional is PBEsol.

abc: 5.370 5.370 5.370
angles: 60.72 60.72 60.72
Last column: magnetic moment on the atom in μB.
Element x y z (fractional)
Fe (0.500, 0.500, 0.500)  2.60
Fe (0.000, 0.000, 0.000)  2.60
O (0.797, 0.250, 0.703)  0.08
O (0.703, 0.797, 0.250)  0.08
O (0.203, 0.750, 0.297)  0.08
O (0.297, 0.203, 0.750)  0.08
O (0.250, 0.703, 0.797)  0.08
O (0.750, 0.297, 0.203)  0.08
La (0.750, 0.750, 0.750)  0.01
La (0.250, 0.250, 0.250)  0.01

Summary:
- Symmetry: R-3c (167)
- Energy relative to the elements, uncorrected: -2.45 eV/atom
- D(E_F): 2.50 states/eV/f.u.

This record from Alexandria describes crystalline La4FeO8 at its relaxed geometry. The functional is PBEsol.

abc: 5.220 5.237 6.960
angles: 90.00 112.03 90.00
Last column: magnetic moment on the atom in μB.
Element x y z (fractional)
La (0.636, 0.500, 0.272)  0.03
La (0.364, 0.500, 0.728)  0.03
La (0.137, 0.000, 0.274)  0.01
La (0.863, 0.000, 0.726)  0.01
Fe (0.000, 0.500, 0.000)  3.00
O (0.685, 0.000, 0.371)  0.02
O (0.315, 0.000, 0.629)  0.02
O (0.176, 0.500, 0.353)  0.11
O (0.824, 0.500, 0.647)  0.11
O (0.244, 0.260, 0.000)  0.11
O (0.244, 0.740, 0.000)  0.11
O (0.756, 0.260, 0.000)  0.11
O (0.756, 0.740, 0.000)  0.11

Summary:
- Symmetry: Cmmm (65)
- Energy relative to the elements, uncorrected: -2.93 eV/atom

This record from Alexandria describes crystalline La3FeWS3O6 at its relaxed geometry. The functional is PBEsol.

abc: 5.462 9.281 9.281
angles: 120.00 90.00 90.00
Last column: magnetic moment on the atom in μB.
Element x y z (fractional)
La (0.750, 0.091, 0.687)  0.00
La (0.750, 0.596, 0.909)  0.00
La (0.750, 0.313, 0.404)  0.00
La (0.250, 0.909, 0.313)  0.00
La (0.250, 0.404, 0.091)  0.00
La (0.250, 0.687, 0.596)  0.00
Fe (0.000, 0.000, 0.000)  0.97
Fe (0.500, 0.000, 0.000)  0.97
W (0.750, 0.667, 0.333)  0.00
W (0.250, 0.333, 0.667)  0.00
S (0.250, 0.169, 0.215)  0.00
S (0.250, 0.046, 0.831)  0.00
S (0.250, 0.785, 0.954)  0.00
S (0.750, 0.831, 0.785)  0.00
S (0.750, 0.954, 0.169)  0.00
S (0.750, 0.215, 0.046)  0.00
O (0.478, 0.161, 0.523)  0.00
O (0.478, 0.362, 0.839)  0.00
O (0.478, 0.477, 0.638)  0.00
O (0.978, 0.839, 0.477)  0.00
O (0.978, 0.638, 0.161)  0.00
O (0.978, 0.523, 0.362)  0.00
O (0.522, 0.839, 0.477)  0.00
O (0.522, 0.638, 0.161)  0.00
O (0.522, 0.523, 0.362)  0.00
O (0.022, 0.161, 0.523)  0.00
O (0.022, 0.362, 0.839)  0.00
O (0.022, 0.477, 0.638)  0.00

Summary:
- Symmetry: P6_3/m (176)
- Energy relative to the elements, uncorrected: -2.50 eV/atom
- D(E_F): 4.08 states/eV/f.u.

Number 2 is which compound?
LaFeO3

Number 1 is which compound?
La4FeNi3O12

The lowest energy relative to the elements, uncorrected belongs to which entry?
La4FeO8